DFT (PBE) results for a geometry-optimized CaPrTm2Bi4 structure.

POSCAR file:
```
CaPrTm2Bi4
1.0
-3.2051 3.2051 6.4003
3.2051 -3.2051 6.4003
3.2051 3.2051 -6.4003
Ca Pr Tm Bi
1 1 2 4
direct
0.0000 0.0000 0.0000 Ca
0.5000 0.5000 0.0000 Pr
0.2500 0.7500 0.5000 Tm
0.7500 0.2500 0.5000 Tm
0.0000 0.5000 0.5000 Bi
0.2493 0.2493 0.0000 Bi
0.5000 0.0000 0.5000 Bi
0.7507 0.7507 0.0000 Bi
```

Calculated values
ρ	8554	kg/m3
spin magnetization	0.000	μB per formula unit
ΔE_f	-0.766	eV per atom
uncorrected energy	-4.67	eV/atom